No. 1
The following is a DFT calculation (PBE) of crystalline Tb2Co2Ni15 at its relaxed geometry.

Structure (CIF):
```
data_Tb2Co2Ni15
_cell_length_a 8.2849
_cell_length_b 8.2849
_cell_length_c 12.1190
_cell_angle_alpha 90.00
_cell_angle_beta 90.00
_cell_angle_gamma 120.00
_space_group_name_H-M_alt 'R -3 m'
_space_group_IT_number 166
_space_group_name_Hall '-R 3 2"'
loop_
_atom_site_label
_atom_site_type_symbol
_atom_site_fract_x
_atom_site_fract_y
_atom_site_fract_z
Tb1 Tb 0.0000 0.0000 0.1586
Co1 Co 0.0000 0.0000 0.4068
Ni1 Ni 0.0000 0.2953 0.5000
Ni2 Ni 0.0000 0.5000 0.0000
Ni3 Ni 0.0025 0.5013 0.3447
```

Summary:
The value obtained for the size of the total moment is 9.63 μB per formula unit. As for the total energy: -5.983 eV/atom.


No. 2
The following is a DFT calculation (PBE) of crystalline SrNd2In at its relaxed geometry.

Structure (CIF):
```
data_SrNd2In
_cell_length_a 5.136
_cell_length_b 5.136
_cell_length_c 5.061
_cell_angle_alpha 90.00
_cell_angle_beta 90.00
_cell_angle_gamma 90.00
_space_group_name_H-M_alt 'P 4/m m m'
_space_group_IT_number 123
_space_group_name_Hall '-P 4 2'
loop_
_atom_site_label
_atom_site_type_symbol
_atom_site_fract_x
_atom_site_fract_y
_atom_site_fract_z
Sr1 Sr 0.000 0.000 0.000
Nd1 Nd 0.000 0.500 0.500
In1 In 0.500 0.500 0.000
```

Summary:
Its energy above the most stable polymorph in this dataset is 0.0 kJ/mol of atoms. The value obtained for the size of the total moment is 0.00 μB per formula unit. As for the total energy: -3.644 eV/atom.


No. 3
The following is a DFT calculation (PBE) of crystalline HoHfCd4 at its relaxed geometry.

Structure (CIF):
```
data_HoHfCd4
_cell_length_a 8.158
_cell_length_b 8.158
_cell_length_c 8.158
_cell_angle_alpha 90.00
_cell_angle_beta 90.00
_cell_angle_gamma 90.00
_space_group_name_H-M_alt 'F -4 3 m'
_space_group_IT_number 216
_space_group_name_Hall 'F -4 2 3'
loop_
_atom_site_label
_atom_site_type_symbol
_atom_site_fract_x
_atom_site_fract_y
_atom_site_fract_z
Ho1 Ho 0.000 0.000 0.000
Hf1 Hf 0.250 0.250 0.750
Cd1 Cd 0.125 0.125 0.375
```

Summary:
The value obtained for the size of the total moment is 1.83 μB per formula unit. As for the total energy: -3.059 eV/atom.


No. 4
The following is a DFT calculation (PBE) of crystalline SrAcAu at its relaxed geometry.

Structure (CIF):
```
data_SrAcAu
_cell_length_a 13.963
_cell_length_b 4.519
_cell_length_c 8.101
_cell_angle_alpha 90.00
_cell_angle_beta 100.88
_cell_angle_gamma 90.00
_space_group_name_H-M_alt 'C 1 2/m 1'
_space_group_IT_number 12
_space_group_name_Hall '-C 2y'
loop_
_atom_site_label
_atom_site_type_symbol
_atom_site_fract_x
_atom_site_fract_y
_atom_site_fract_z
Sr1 Sr 0.126 0.000 0.371
Ac1 Ac 0.128 0.500 0.897
Au1 Au 0.241 0.000 0.750
```

Summary:
Its energy above the most stable polymorph in this dataset is 2.7 kJ/mol of atoms. The value obtained for the size of the total moment is 0.00 μB per formula unit. As for the total energy: -3.491 eV/atom.


No. 5
The following is a DFT calculation (PBE) of crystalline SrTlOs2 at its relaxed geometry.

Structure (CIF):
```
data_SrTlOs2
_cell_length_a 4.259
_cell_length_b 4.259
_cell_length_c 4.440
_cell_angle_alpha 90.00
_cell_angle_beta 90.00
_cell_angle_gamma 90.00
_space_group_name_H-M_alt 'P 4/m m m'
_space_group_IT_number 123
_space_group_name_Hall '-P 4 2'
loop_
_atom_site_label
_atom_site_type_symbol
_atom_site_fract_x
_atom_site_fract_y
_atom_site_fract_z
Sr1 Sr 0.000 0.000 0.000
Tl1 Tl 0.500 0.500 0.000
Os1 Os 0.000 0.500 0.500
```

Summary:
Its energy above the most stable polymorph in this dataset is 83.6 kJ/mol of atoms. The value obtained for the size of the total moment is 1.57 μB per formula unit. As for the total energy: -5.478 eV/atom.


No. 6
The following is a DFT calculation (PBE) of crystalline KFePt2 at its relaxed geometry.

Structure (CIF):
```
data_KFePt2
_cell_length_a 2.835
_cell_length_b 2.835
_cell_length_c 9.372
_cell_angle_alpha 90.00
_cell_angle_beta 90.00
_cell_angle_gamma 90.00
_space_group_name_H-M_alt 'P 4 m m'
_space_group_IT_number 99
_space_group_name_Hall 'P 4 -2'
loop_
_atom_site_label
_atom_site_type_symbol
_atom_site_fract_x
_atom_site_fract_y
_atom_site_fract_z
K1 K 0.000 0.000 0.000
Fe1 Fe 0.500 0.500 0.671
Pt1 Pt 0.000 0.000 0.492
Pt2 Pt 0.500 0.500 0.273
```

Summary:
Its energy above the most stable polymorph in this dataset is 30.7 kJ/mol of atoms. The value obtained for the size of the total moment is 3.33 μB per formula unit. As for the total energy: -5.089 eV/atom.


No. 7
The following is a DFT calculation (PBE) of crystalline FeCu2Hg at its relaxed geometry.

Structure (CIF):
```
data_FeCu2Hg
_cell_length_a 8.621
_cell_length_b 2.786
_cell_length_c 4.951
_cell_angle_alpha 90.00
_cell_angle_beta 99.31
_cell_angle_gamma 90.00
_space_group_name_H-M_alt 'C 1 2/m 1'
_space_group_IT_number 12
_space_group_name_Hall '-C 2y'
loop_
_atom_site_label
_atom_site_type_symbol
_atom_site_fract_x
_atom_site_fract_y
_atom_site_fract_z
Fe1 Fe 0.000 0.000 0.000
Cu1 Cu 0.243 0.500 0.212
Hg1 Hg 0.000 0.500 0.500
```

Summary:
Its energy above the most stable polymorph in this dataset is 4.1 kJ/mol of atoms. The value obtained for the size of the total moment is 2.77 μB per formula unit. As for the total energy: -3.935 eV/atom.


No. 8
The following is a DFT calculation (PBE) of crystalline PSe at its relaxed geometry.

Structure (CIF):
```
data_PSe
_cell_length_a 5.087
_cell_length_b 7.326
_cell_length_c 10.562
_cell_angle_alpha 90.00
_cell_angle_beta 90.00
_cell_angle_gamma 90.00
_space_group_name_H-M_alt 'P 21 21 21'
_space_group_IT_number 19
_space_group_name_Hall 'P 2ac 2ab'
loop_
_atom_site_label
_atom_site_type_symbol
_atom_site_fract_x
_atom_site_fract_y
_atom_site_fract_z
P1 P 0.010 0.229 0.489
P2 P 0.073 0.985 0.190
Se1 Se 0.005 0.436 0.097
Se2 Se 0.015 0.134 0.698
```

Summary:
Its energy above the most stable polymorph in this dataset is 21.7 kJ/mol of atoms. The value obtained for the size of the total moment is 0.00 μB per formula unit. As for the total energy: -4.302 eV/atom. The calculation puts the uncorrected formation energy at 145 meV per atom.


No. 9
The following is a DFT calculation (PBE) of crystalline ZrNpCdO6 at its relaxed geometry.

Structure (CIF):
```
data_ZrNpCdO6
_cell_length_a 5.6325
_cell_length_b 5.6325
_cell_length_c 9.4938
_cell_angle_alpha 90.00
_cell_angle_beta 90.00
_cell_angle_gamma 120.00
_space_group_name_H-M_alt 'P -3 1 c'
_space_group_IT_number 163
_space_group_name_Hall '-P 3 2c'
loop_
_atom_site_label
_atom_site_type_symbol
_atom_site_fract_x
_atom_site_fract_y
_atom_site_fract_z
Zr1 Zr 0.3333 0.6667 0.2500
Np1 Np 0.3333 0.6667 0.7500
Cd1 Cd 0.0000 0.0000 0.0000
O1 O 0.0069 0.3617 0.6374
```

Summary:
The value obtained for the size of the total moment is 1.00 μB per formula unit. As for the total energy: -8.321 eV/atom. The calculation puts the uncorrected formation energy at -2526 meV per atom.


No. 10
The following is a DFT calculation (PBE) of crystalline RbHfC2 at its relaxed geometry.

Structure (CIF):
```
data_RbHfC2
_cell_length_a 6.251
_cell_length_b 6.251
_cell_length_c 6.251
_cell_angle_alpha 90.00
_cell_angle_beta 90.00
_cell_angle_gamma 90.00
_space_group_name_H-M_alt 'F m -3 m'
_space_group_IT_number 225
_space_group_name_Hall '-F 4 2 3'
loop_
_atom_site_label
_atom_site_type_symbol
_atom_site_fract_x
_atom_site_fract_y
_atom_site_fract_z
Rb1 Rb 0.000 0.000 0.000
Hf1 Hf 0.000 0.000 0.500
C1 C 0.250 0.250 0.250
```

Summary:
Its energy above the most stable polymorph in this dataset is 98.9 kJ/mol of atoms. The value obtained for the size of the total moment is 0.00 μB per formula unit. As for the total energy: -5.218 eV/atom.


No. 11
The following is a DFT calculation (PBE) of crystalline Pm3Nd2DyS6 at its relaxed geometry.

Structure (CIF):
```
data_Pm3Nd2DyS6
_cell_length_a 6.963
_cell_length_b 12.099
_cell_length_c 6.963
_cell_angle_alpha 90.00
_cell_angle_beta 109.52
_cell_angle_gamma 90.00
_space_group_name_H-M_alt 'C 1 2/m 1'
_space_group_IT_number 12
_space_group_name_Hall '-C 2y'
loop_
_atom_site_label
_atom_site_type_symbol
_atom_site_fract_x
_atom_site_fract_y
_atom_site_fract_z
Pm1 Pm 0.000 0.000 0.000
Pm2 Pm 0.000 0.329 0.000
Nd1 Nd 0.000 0.167 0.500
Dy1 Dy 0.000 0.500 0.500
S1 S 0.241 0.500 0.250
S2 S 0.244 0.338 0.747
```

Summary:
The value obtained for the size of the total moment is 0.00 μB per formula unit. As for the total energy: -6.456 eV/atom. The calculation puts the uncorrected formation energy at -2026 meV per atom.


No. 12
The following is a DFT calculation (PBE) of crystalline Cu2SnBr4 at its relaxed geometry.

Structure (CIF):
```
data_Cu2SnBr4
_cell_length_a 4.148
_cell_length_b 7.272
_cell_length_c 7.488
_cell_angle_alpha 97.59
_cell_angle_beta 104.42
_cell_angle_gamma 90.11
_space_group_name_H-M_alt 'P -1'
_space_group_IT_number 2
_space_group_name_Hall '-P 1'
loop_
_atom_site_label
_atom_site_type_symbol
_atom_site_fract_x
_atom_site_fract_y
_atom_site_fract_z
Cu1 Cu 0.067 0.036 0.188
Sn1 Sn 0.500 0.500 0.000
Br1 Br 0.112 0.368 0.252
Br2 Br 0.411 0.120 0.766
```

Summary:
Its energy above the most stable polymorph in this dataset is 0.0 kJ/mol of atoms. The value obtained for the size of the total moment is 0.00 μB per formula unit. As for the total energy: -3.152 eV/atom. The calculation puts the uncorrected formation energy at -454 meV per atom.


No. 13
The following is a DFT calculation (PBE) of crystalline GaIrO2F at its relaxed geometry.

Structure (CIF):
```
data_GaIrO2F
_cell_length_a 3.929
_cell_length_b 3.929
_cell_length_c 3.766
_cell_angle_alpha 90.00
_cell_angle_beta 90.00
_cell_angle_gamma 90.00
_space_group_name_H-M_alt 'P 4/m m m'
_space_group_IT_number 123
_space_group_name_Hall '-P 4 2'
loop_
_atom_site_label
_atom_site_type_symbol
_atom_site_fract_x
_atom_site_fract_y
_atom_site_fract_z
Ga1 Ga 0.000 0.000 0.000
Ir1 Ir 0.500 0.500 0.500
O1 O 0.000 0.500 0.000
F1 F 0.000 0.000 0.500
```

Summary:
The value obtained for the size of the total moment is 2.97 μB per formula unit. As for the total energy: -5.042 eV/atom. The calculation puts the uncorrected formation energy at -307 meV per atom.


No. 14
The following is a DFT calculation (PBE) of crystalline Y2SiSe at its relaxed geometry.

Structure (CIF):
```
data_Y2SiSe
_cell_length_a 4.415
_cell_length_b 5.731
_cell_length_c 7.499
_cell_angle_alpha 90.00
_cell_angle_beta 90.00
_cell_angle_gamma 90.00
_space_group_name_H-M_alt 'I m m m'
_space_group_IT_number 71
_space_group_name_Hall '-I 2 2'
loop_
_atom_site_label
_atom_site_type_symbol
_atom_site_fract_x
_atom_site_fract_y
_atom_site_fract_z
Y1 Y 0.000 0.000 0.249
Si1 Si 0.000 0.500 0.000
Se1 Se 0.000 0.500 0.500
```

Summary:
Its energy above the most stable polymorph in this dataset is 38.4 kJ/mol of atoms. The value obtained for the size of the total moment is 0.00 μB per formula unit. As for the total energy: -6.405 eV/atom. The calculation puts the uncorrected formation energy at -946 meV per atom.